A crystal of ZnSi2Pt relaxed with PBEsol. Source: Alexandria via LeMat-Bulk, functional SCAN.

Lattice parameters (Å, degrees): 6.132 6.132 6.132 90.00 90.00 90.00
Space group F-43m (No. 216)
Unique sites:
Zn1 0.000 0.000 0.000 x4
Si1 0.000 0.000 0.500 x4
Si2 0.250 0.250 0.250 x4
Pt1 0.250 0.250 0.750 x4

## Properties
crystal system: cubic
E_form (uncorrected): 0.13 eV/atom

***

A crystal of ZrSiPt2 relaxed with PBEsol. Source: Alexandria via LeMat-Bulk, functional SCAN.

Lattice parameters (Å, degrees): 2.9029 2.9029 26.2166 90.00 90.00 120.00
Space group R3m (No. 160, hexagonal axes)
Unique sites:
Zr1 0.0000 0.0000 0.0000 x3
Si1 0.0000 0.0000 0.2455 x3
Pt1 0.0000 0.0000 0.5096 x3
Pt2 0.0000 0.0000 0.7530 x3

## Properties
crystal system: trigonal
E_form (uncorrected): -0.41 eV/atom

***

A crystal of Zr2Si2Pt relaxed with PBEsol. Source: Alexandria via LeMat-Bulk, functional SCAN.

Lattice parameters (Å, degrees): 6.348 6.348 4.086 90.00 90.00 90.00
Space group P4/mbm (No. 127)
Unique sites:
Zr1 0.171 0.329 0.000 x4
Si1 0.131 0.631 0.500 x4
Pt1 0.000 0.000 0.500 x2

## Properties
crystal system: tetragonal
E_form (uncorrected): -1.14 eV/atom

***

A crystal of ZrSiPt2 relaxed with PBEsol. Source: Alexandria via LeMat-Bulk, functional SCAN.

Lattice parameters (Å, degrees): 3.893 3.184 10.523 90.00 90.00 90.00
Space group Amm2 (No. 38)
Unique sites:
Zr1 0.000 0.000 0.000 x2
Si1 0.500 0.000 0.385 x2
Pt1 0.000 0.000 0.264 x2
Pt2 0.500 0.000 0.629 x2

## Properties
crystal system: orthorhombic
E_form (uncorrected): -0.87 eV/atom

***

A crystal of ZrSiPt2 relaxed with PBEsol. Source: Alexandria via LeMat-Bulk, functional SCAN.

Lattice parameters (Å, degrees): 3.906 3.906 8.294 90.00 90.00 90.00
Space group I4/mmm (No. 139)
Unique sites:
Zr1 0.000 0.000 0.000 x2
Si1 0.000 0.000 0.500 x2
Pt1 0.000 0.500 0.250 x4

## Properties
crystal system: tetragonal
E_form (uncorrected): -0.88 eV/atom

***

A crystal of SmPt3 relaxed with PBEsol. Source: Alexandria via LeMat-Bulk, functional SCAN.

Lattice parameters (Å, degrees): 4.105 4.105 4.105 90.00 90.00 90.00
Space group Pm-3m (No. 221)
Unique sites:
Sm1 0.000 0.000 0.000 x1
Pt1 0.000 0.500 0.500 x3

## Properties
crystal system: cubic
formation enthalpy at 0 K: -1.0065 eV per atom

***

A crystal of SmPt relaxed with PBEsol. Source: Alexandria via LeMat-Bulk, functional SCAN.

Lattice parameters (Å, degrees): 7.107 4.518 5.593 90.00 90.00 90.00
Space group Pnma (No. 62)
Unique sites:
Sm1 0.182 0.250 0.139 x4
Pt1 0.043 0.250 0.652 x4

## Properties
crystal system: orthorhombic
formation enthalpy at 0 K: -1.4122 eV per atom

***

A crystal of SnPt relaxed with PBEsol. Source: Alexandria via LeMat-Bulk, functional SCAN.

Lattice parameters (Å, degrees): 4.1217 4.1217 5.4265 90.00 90.00 120.00
Space group P6_3/mmc (No. 194)
Unique sites:
Sn1 0.3333 0.6667 0.2500 x2
Pt1 0.0000 0.0000 0.0000 x2

## Properties
crystal system: hexagonal
formation enthalpy at 0 K: -0.6385 eV per atom

***

A crystal of Sn3Pt2 relaxed with PBEsol. Source: Alexandria via LeMat-Bulk, functional SCAN.

Lattice parameters (Å, degrees): 4.3523 4.3523 12.9781 90.00 90.00 120.00
Space group P6_3/mmc (No. 194)
Unique sites:
Sn1 0.0000 0.0000 0.2500 x2
Sn2 0.3333 0.6667 0.0712 x4
Pt1 0.3333 0.6667 0.6436 x4

## Properties
crystal system: hexagonal
formation enthalpy at 0 K: -0.5621 eV per atom

***

A crystal of SrZr2SnPt relaxed with PBEsol. Source: Alexandria via LeMat-Bulk, functional SCAN.

Lattice parameters (Å, degrees): 5.343 5.343 5.001 90.00 90.00 90.00
Space group P4/mmm (No. 123)
Unique sites:
Sr1 0.000 0.000 0.000 x1
Zr1 0.000 0.500 0.500 x2
Sn1 0.500 0.500 0.500 x1
Pt1 0.500 0.500 0.000 x1

## Properties
crystal system: tetragonal
formation enthalpy at 0 K: 0.4730 eV per atom

***

A crystal of TbSnPt relaxed with PBEsol. Source: Alexandria via LeMat-Bulk, functional SCAN.

Lattice parameters (Å, degrees): 7.4206 7.4206 3.9805 90.00 90.00 120.00
Space group P-62m (No. 189)
Unique sites:
Tb1 0.0000 0.5933 0.0000 x3
Sn1 0.0000 0.2584 0.5000 x3
Pt1 0.0000 0.0000 0.0000 x1
Pt2 0.3333 0.6667 0.5000 x2

## Properties
crystal system: hexagonal
formation enthalpy at 0 K: -1.2924 eV per atom

***

A crystal of TbSnPt2 relaxed with PBEsol. Source: Alexandria via LeMat-Bulk, functional SCAN.

Lattice parameters (Å, degrees): 4.5089 4.5089 8.9606 90.00 90.00 120.00
Space group P6_3/mmc (No. 194)
Unique sites:
Tb1 0.3333 0.6667 0.2500 x2
Sn1 0.0000 0.0000 0.0000 x2
Pt1 0.3333 0.6667 0.5887 x4

## Properties
crystal system: hexagonal
formation enthalpy at 0 K: -1.1386 eV per atom

***

A crystal of TbSnPt relaxed with PBEsol. Source: Alexandria via LeMat-Bulk, functional SCAN.

Lattice parameters (Å, degrees): 7.127 4.527 7.922 90.00 90.00 90.00
Space group Pnma (No. 62)
Unique sites:
Tb1 0.011 0.250 0.195 x4
Sn1 0.177 0.250 0.584 x4
Pt1 0.218 0.750 0.410 x4

## Properties
crystal system: orthorhombic
formation enthalpy at 0 K: -1.2697 eV per atom

***

A crystal of Tc2SnTePt relaxed with PBEsol. Source: Alexandria via LeMat-Bulk, functional SCAN.

Lattice parameters (Å, degrees): 4.814 4.814 5.204 90.00 90.00 90.00
Space group P4/mmm (No. 123)
Unique sites:
Tc1 0.000 0.500 0.000 x2
Sn1 0.000 0.000 0.500 x1
Te1 0.500 0.500 0.500 x1
Pt1 0.500 0.500 0.000 x1

## Properties
crystal system: tetragonal
E_form (uncorrected): 1.31 eV/atom

***

A crystal of SnTePt relaxed with PBEsol. Source: Alexandria via LeMat-Bulk, functional SCAN.

Lattice parameters (Å, degrees): 6.487 6.487 6.487 90.00 90.00 90.00
Space group P2_13 (No. 198)
Unique sites:
Sn1 0.127 0.373 0.627 x4
Te1 0.128 0.128 0.128 x4
Pt1 0.002 0.502 0.998 x4

## Properties
crystal system: cubic
E_form (uncorrected): -0.63 eV/atom

***

A crystal of SnTePt3 relaxed with PBEsol. Source: Alexandria via LeMat-Bulk, functional SCAN.

Lattice parameters (Å, degrees): 4.914 4.914 4.914 90.00 90.00 90.00
Space group Pm-3m (No. 221)
Unique sites:
Sn1 0.000 0.000 0.000 x1
Te1 0.500 0.500 0.500 x1
Pt1 0.000 0.500 0.500 x3

## Properties
crystal system: cubic
E_form (uncorrected): 0.57 eV/atom

***

A crystal of SnPtW3 relaxed with PBEsol. Source: Alexandria via LeMat-Bulk, functional SCAN.

Lattice parameters (Å, degrees): 4.758 4.758 4.758 90.00 90.00 90.00
Space group Pm-3m (No. 221)
Unique sites:
Sn1 0.000 0.000 0.000 x1
Pt1 0.500 0.500 0.500 x1
W1 0.000 0.500 0.500 x3

## Properties
crystal system: cubic
formation enthalpy at 0 K: 2.0532 eV per atom

***

A crystal of YSn3Pt relaxed with PBEsol. Source: Alexandria via LeMat-Bulk, functional SCAN.

Lattice parameters (Å, degrees): 5.181 5.181 5.181 90.00 90.00 90.00
Space group Pm-3m (No. 221)
Unique sites:
Y1 0.000 0.000 0.000 x1
Sn1 0.000 0.500 0.500 x3
Pt1 0.500 0.500 0.500 x1

## Properties
crystal system: cubic
formation enthalpy at 0 K: -0.0104 eV per atom

***

A crystal of Zn2SnPt2 relaxed with PBEsol. Source: Alexandria via LeMat-Bulk, functional SCAN.

Lattice parameters (Å, degrees): 3.521 3.521 13.190 90.00 90.00 90.00
Space group I4/mmm (No. 139)
Unique sites:
Zn1 0.000 0.500 0.250 x4
Sn1 0.000 0.000 0.000 x2
Pt1 0.000 0.000 0.396 x4

## Properties
crystal system: tetragonal
formation enthalpy at 0 K: -0.4035 eV per atom

***

A crystal of Zr3SnPt relaxed with PBEsol. Source: Alexandria via LeMat-Bulk, functional SCAN.

Lattice parameters (Å, degrees): 5.121 5.121 5.121 90.00 90.00 90.00
Space group Pm-3m (No. 221)
Unique sites:
Zr1 0.000 0.000 0.500 x3
Sn1 0.000 0.000 0.000 x1
Pt1 0.500 0.500 0.500 x1

## Properties
crystal system: cubic
formation enthalpy at 0 K: 0.9449 eV per atom

***

Number 1: M_tot 0.00 μB/f.u.. Number 2: M_tot 0.00 μB/f.u.. Number 3: M_tot 0.00 μB/f.u.. Number 4: M_tot 0.00 μB/f.u.. Number 5: M_tot 0.00 μB/f.u.. Number 6: M_tot 0.00 μB/f.u.. Number 7: M_tot 0.00 μB/f.u.. Number 8: M_tot 0.00 μB/f.u.. Number 9: M_tot 0.00 μB/f.u.. Number 10: M_tot 1.31 μB/f.u.. Number 11: M_tot 0.00 μB/f.u.. Number 12: M_tot 0.00 μB/f.u.. Number 13: M_tot 0.00 μB/f.u.. Number 14: M_tot 6.46 μB/f.u.. Number 15: M_tot 0.00 μB/f.u.. Number 16: M_tot 0.00 μB/f.u.. Number 17: M_tot 0.00 μB/f.u.. Number 18: M_tot 0.00 μB/f.u.. Number 19: M_tot 0.00 μB/f.u.. Number 20: M_tot 0.00 μB/f.u..